Entry from Alexandria: a relaxed structure of GaCu3Os (PBE).

Output
The distance to the lowest polymorph of the same formula is 0.000 eV per atom. Its calculated formation energy is 6.41 eV per formula unit. Its space group is No. 221. The mass density is 9320 kg/m3. The calculation puts the density of states at the Fermi level at 0.6473 states/eV/atom.

abc: 4.3139 4.3139 4.3139
angles: 90.00 90.00 90.00
Sites, in units of the cell vectors:
Ga 0.0000 0.0000 0.0000
Cu 0.0000 0.0000 0.5000
Cu 0.0000 0.5000 0.0000
Cu 0.5000 0.0000 0.0000
Os 0.5000 0.5000 0.5000


Entry from Alexandria: a relaxed structure of SrMnH3 (PBE).

Output
The distance to the lowest polymorph of the same formula is 0.768 eV per atom. Its space group is No. 221. The mass density is 2754 kg/m3. The calculation puts the density of states at the Fermi level at 0.4003 states/eV/atom.

abc: 4.4442 4.4442 4.4442
angles: 90.00 90.00 90.00
Sites, in units of the cell vectors:
Sr 0.0000 0.0000 0.0000
Mn 0.5000 0.5000 0.5000
H 0.0000 0.0000 0.5000
H 0.0000 0.5000 0.0000
H 0.5000 0.0000 0.0000


Entry from Alexandria: a relaxed structure of MgBeFe2 (PBE).

Output
The distance to the lowest polymorph of the same formula is 0.551 eV per atom. Its calculated formation energy is 2.48 eV per formula unit. Its space group is No. 122. The mass density is 4554 kg/m3. The calculation puts the density of states at the Fermi level at 0.6739 states/eV/atom.

abc: 8.6418 8.6418 8.6418
angles: 156.11 156.11 34.04
Sites, in units of the cell vectors:
Mg 0.0000 0.0000 0.0000
Mg 0.7500 0.2500 0.5000
Be 0.2500 0.7500 0.5000
Be 0.5000 0.5000 0.0000
Fe 0.2263 0.1250 0.6013
Fe 0.3750 0.7737 0.8987
Fe 0.5237 0.6250 0.3987
Fe 0.8750 0.4763 0.1013


Entry from Alexandria: a relaxed structure of Br3Cl4 (PBE).

Output
The distance to the lowest polymorph of the same formula is 0.221 eV per atom. The value obtained for the formation energy from raw total energies is 71.5 kJ/mol of atoms. Its space group is No. 139. The mass density is 3669 kg/m3. The calculation puts the density of states at the Fermi level at 1.5514 states/eV/atom.

abc: 12.8358 12.8358 12.8358
angles: 163.39 163.39 23.57
Sites, in units of the cell vectors:
Br 0.0000 0.0000 0.0000
Br 0.2828 0.2828 0.0000
Br 0.7172 0.7172 0.0000
Cl 0.1534 0.1534 0.0000
Cl 0.4402 0.4402 0.0000
Cl 0.5598 0.5598 0.0000
Cl 0.8466 0.8466 0.0000


Entry from Alexandria: a relaxed structure of La2YSc (PBE).

Output
The distance to the lowest polymorph of the same formula is 0.116 eV per atom. Its calculated formation energy is 0.63 eV per formula unit. Its space group is No. 65. The mass density is 5272 kg/m3. The calculation puts the density of states at the Fermi level at 2.2458 states/eV/atom.

abc: 3.4711 3.4711 11.8724
angles: 90.00 90.00 114.99
Sites, in units of the cell vectors:
La 0.0000 0.0000 0.2374
La 0.0000 0.0000 0.7626
Y 0.5000 0.5000 0.5000
Sc 0.5000 0.5000 0.0000


Entry from Alexandria: a relaxed structure of KBa2ReC (PBE).

Output
Its calculated formation energy is 13.60 eV per formula unit. Its space group is No. 123. The mass density is 4622 kg/m3. The calculation puts the density of states at the Fermi level at 0.6206 states/eV/atom.

abc: 6.2101 6.2101 4.7695
angles: 90.00 90.00 90.00
Sites, in units of the cell vectors:
K 0.0000 0.0000 0.0000
Ba 0.0000 0.5000 0.0000
Ba 0.5000 0.0000 0.0000
Re 0.0000 0.0000 0.5000
C 0.5000 0.5000 0.5000


Entry from Alexandria: a relaxed structure of NaNbN3 (PBE).

Output
The value obtained for the formation energy from raw total energies is 216.1 kJ/mol of atoms. Its space group is No. 221. The mass density is 4684 kg/m3. The calculation puts the density of states at the Fermi level at 0.6749 states/eV/atom.

abc: 3.8254 3.8254 3.8254
angles: 90.00 90.00 90.00
Sites, in units of the cell vectors:
Na 0.0000 0.0000 0.0000
Nb 0.5000 0.5000 0.5000
N 0.0000 0.0000 0.5000
N 0.0000 0.5000 0.0000
N 0.5000 0.0000 0.0000


Entry from Alexandria: a relaxed structure of CaMg2Os (PBE).

Output
Its calculated formation energy is 1.33 eV per formula unit. Its space group is No. 44. The mass density is 5611 kg/m3. The calculation puts the density of states at the Fermi level at 0.5118 states/eV/atom.

abc: 5.6562 5.6562 5.6562
angles: 143.21 129.53 64.06
Sites, in units of the cell vectors:
Ca 0.0000 0.0000 0.0000
Mg 0.2786 0.7786 0.5000
Mg 0.5520 0.5520 0.0000
Os 0.7563 0.2563 0.5000